1.
{
  "formula": "CaPmSb4",
  "functional": "PBE-GGA",
  "state": "optimized geometry",
  "cell": [[6.338, 0.000, 0.000], [3.169, 5.489, 0.000], [3.169, 1.830, 5.175]],
  "species": ["Sb", "Sb", "Sb", "Sb", "Pm", "Ca"],
  "fractional_positions": [[0.625, 0.124, 0.625], [0.625, 0.625, 0.625], [0.625, 0.625, 0.124], [0.124, 0.625, 0.625], [0.250, 0.250, 0.250], [0.000, 0.000, 0.000]],
  "e_form_raw_ev_per_atom": -0.28,
  "energy_ev_per_cell": -24.90
}

***

2.
{
  "formula": "CaPm5Sb6",
  "functional": "PBE-GGA",
  "state": "optimized geometry",
  "cell": [[-4.933, 4.216, -4.322], [-5.804, -4.554, -2.512], [-6.474, -0.779, 4.282]],
  "species": ["Pm", "Pm", "Pm", "Pm", "Pm", "Sb", "Sb", "Sb", "Sb", "Sb", "Sb", "Ca"],
  "fractional_positions": [[0.500, 0.834, 0.332], [0.500, 0.500, 0.000], [0.000, 0.333, 0.334], [0.000, 0.667, 0.666], [0.500, 0.166, 0.668], [0.251, 0.252, 0.000], [0.749, 0.084, 0.336], [0.749, 0.419, 0.664], [0.251, 0.916, 0.664], [0.251, 0.581, 0.336], [0.749, 0.748, 0.000], [0.000, 0.000, 0.000]],
  "e_form_raw_ev_per_atom": -1.11,
  "energy_ev_per_cell": -63.85
}

***

3.
{
  "formula": "CaPmSb",
  "functional": "PBE-GGA",
  "state": "optimized geometry",
  "cell": [[1.238, 3.361, -2.500], [1.834, -4.114, -4.622], [-6.977, -1.400, -1.522]],
  "species": ["Ca", "Ca", "Sb", "Sb", "Pm", "Pm"],
  "fractional_positions": [[0.295, 0.750, 0.091], [0.705, 0.250, 0.909], [0.630, 0.750, 0.759], [0.370, 0.250, 0.241], [0.000, 0.500, 0.500], [0.000, 0.000, 0.500]],
  "e_form_raw_ev_per_atom": -0.77,
  "energy_ev_per_cell": -26.37,
  "e_above_lowest_polymorph_mev_per_atom": 42
}

***

4.
{
  "formula": "CaPmSb2",
  "functional": "PBE-GGA",
  "state": "optimized geometry",
  "cell": [[-5.307, 1.918, 2.956], [1.218, -5.323, 3.210], [6.735, 6.348, 7.972]],
  "species": ["Sb", "Sb", "Sb", "Sb", "Sb", "Sb", "Sb", "Sb", "Ca", "Ca", "Ca", "Ca", "Pm", "Pm", "Pm", "Pm"],
  "fractional_positions": [[0.802, 0.763, 0.540], [0.865, 0.412, 0.211], [0.302, 0.263, 0.960], [0.198, 0.237, 0.460], [0.135, 0.588, 0.789], [0.365, 0.912, 0.289], [0.635, 0.088, 0.711], [0.698, 0.737, 0.040], [0.637, 0.610, 0.785], [0.363, 0.390, 0.215], [0.137, 0.110, 0.715], [0.863, 0.890, 0.285], [0.702, 0.274, 0.472], [0.798, 0.226, 0.972], [0.202, 0.774, 0.028], [0.298, 0.726, 0.528]],
  "e_form_raw_ev_per_atom": -0.89,
  "energy_ev_per_cell": -74.20,
  "e_above_lowest_polymorph_mev_per_atom": 53
}